(1)
# AuBrCl2

An optimized crystal structure of AuBrCl2 (PBE-GGA, Alexandria via LeMat-Bulk).

Values from the calculation:
Space-group type = No. 71
M_tot = 0.00 μB per atom
Calculated density = 5.1 g/cm3
ΔE to the lowest computed polymorph = 211.4 meV per atom

```
AuBrCl2
1.0
-5.350 2.568 0.312
-2.417 -5.247 1.395
3.417 4.463 1.928
Au Br Cl
1 1 2
Cartesian
-2.908 2.846 1.547
-1.441 -1.062 2.088
-7.344 -2.533 1.614
-4.305 -1.485 0.946
```


(2)
# AuBrCl2

An optimized crystal structure of AuBrCl2 (PBE-GGA, Alexandria via LeMat-Bulk).

Values from the calculation:
Space-group type = No. 25
M_tot = 0.08 μB per atom
Calculated density = 5.4 g/cm3
ΔE to the lowest computed polymorph = 550.0 meV per atom

```
AuBrCl2
1.0
2.684 0.000 0.000
0.000 3.925 0.000
0.000 0.000 10.180
Au Br Cl
1 1 2
Cartesian
0.000 0.000 5.029
1.342 1.963 6.979
0.000 0.000 10.178
1.342 1.963 3.265
```


(3)
# AuBrCl2

An optimized crystal structure of AuBrCl2 (PBE-GGA, Alexandria via LeMat-Bulk).

Values from the calculation:
Space-group type = No. 166
M_tot = 0.04 μB per atom
Calculated density = 5.1 g/cm3
ΔE to the lowest computed polymorph = 363.8 meV per atom

```
AuBrCl2
1.0
-11.210 -4.974 2.277
-9.796 -5.821 5.073
-11.159 -2.891 4.766
Au Br Cl
1 1 2
Cartesian
0.000 0.000 0.000
-16.082 -6.843 6.058
-30.196 -12.849 11.374
-1.969 -0.838 0.742
```


| no. | formation energy from raw total energies (meV/atom) |
| --- | --- |
| 1 | -1 |
| 2 | 337 |
| 3 | 151 |